No. 1
# Pr3BiPd12 (PBE, relaxed)
# * crystal system: tetragonal
# * Fermi-level density of states: 5.4 states/eV/f.u.
data_Pr3BiPd12
_chemical_formula_sum 'Pr3 Bi1 Pd12'
_symmetry_space_group_name_H-M 'P 4/m m m'
_symmetry_Int_Tables_number 123
_symmetry_space_group_name_Hall '-P 4 2'
_cell_length_a 4.213
_cell_length_b 4.213
_cell_length_c 16.701
_cell_angle_alpha 90.00
_cell_angle_beta 90.00
_cell_angle_gamma 90.00
loop_
_atom_site_label
_atom_site_type_symbol
_atom_site_fract_x
_atom_site_fract_y
_atom_site_fract_z
_atom_site_occupancy
Pr1 Pr 0.000 0.000 0.000 1
Pr2 Pr 0.000 0.000 0.250 1
Bi1 Bi 0.000 0.000 0.500 1
Pd1 Pd 0.000 0.500 0.127 1
Pd2 Pd 0.000 0.500 0.381 1
Pd3 Pd 0.500 0.500 0.000 1
Pd4 Pd 0.500 0.500 0.257 1
Pd5 Pd 0.500 0.500 0.500 1


No. 2
# Lu2TlCo (PBE, relaxed)
# * E above lowest polymorph: 43.5 meV/atom
# * crystal system: cubic
# * Fermi-level density of states: 3.0 states/eV/f.u.
data_Lu2TlCo
_chemical_formula_sum 'Lu8 Tl4 Co4'
_symmetry_space_group_name_H-M 'F m -3 m'
_symmetry_Int_Tables_number 225
_symmetry_space_group_name_Hall '-F 4 2 3'
_cell_length_a 7.063
_cell_length_b 7.063
_cell_length_c 7.063
_cell_angle_alpha 90.00
_cell_angle_beta 90.00
_cell_angle_gamma 90.00
loop_
_atom_site_label
_atom_site_type_symbol
_atom_site_fract_x
_atom_site_fract_y
_atom_site_fract_z
_atom_site_occupancy
Lu1 Lu 0.250 0.250 0.250 1
Tl1 Tl 0.000 0.000 0.000 1
Co1 Co 0.000 0.000 0.500 1


Respective energy of formation from the pure elements values: -951.9 -52.6 kJ/mol of formula units.
Respective total DFT energy (no corrections) values: -5.6500 -4.7648 eV per atom.